{
  "formula": "Hf2VHRh",
  "functional": "PBE",
  "state": "optimized geometry",
  "relative_energy_ev_per_fu": 0.00,
  "lattice": [[4.561, 0.000, 0.000], [0.000, 4.561, 0.000], [0.000, 0.000, 3.450]],
  "species": ["Rh", "Hf", "Hf", "H", "V"],
  "frac_coords": [[0.500, 0.500, 0.500], [0.000, 0.500, 0.000], [0.500, 0.000, 0.000], [0.000, 0.000, 0.000], [0.000, 0.000, 0.500]]
}

---

{
  "formula": "Hf2HRhW",
  "functional": "PBE",
  "state": "optimized geometry",
  "relative_energy_ev_per_fu": 0.00,
  "lattice": [[-0.771, 0.767, 4.476], [-4.525, -0.509, -0.692], [0.289, -3.438, 0.639]],
  "species": ["Rh", "Hf", "Hf", "W", "H"],
  "frac_coords": [[0.500, 0.500, 0.500], [0.000, 0.500, 0.000], [0.500, 0.000, 0.000], [0.000, 0.000, 0.500], [0.000, 0.000, 0.000]]
}